(1)
Te4Rh3: relaxed, PBE-GGA.

As for the density: 9.22 Mg/m³. The calculation puts the volume at 21.074 Å³/atom. The calculation puts the formation energy (no corrections) at 0.477 eV per atom. Its space group is No. 191. The calculation puts the density of states at the Fermi level at 1.40 states/eV/atom.

abc: 5.4662 5.4662 5.7008
angles: 90.00 90.00 120.00
Positions (direct):
Te (0.0000, 0.0000, 0.2352)
Te (0.0000, 0.0000, 0.7648)
Te (0.6667, 0.3333, 0.5000)
Te (0.3333, 0.6667, 0.5000)
Rh (0.0000, 0.5000, 0.0000)
Rh (0.5000, 0.5000, 0.0000)
Rh (0.5000, 0.0000, 0.0000)

(2)
LiYTe2: relaxed, PBE-GGA.

As for the density: 3.86 Mg/m³. The calculation puts the volume at 37.772 Å³/atom. The calculation puts the formation energy (no corrections) at -1.024 eV per atom. Its space group is No. 156. The calculation puts the density of states at the Fermi level at 0.00 states/eV/atom.

abc: 4.7824 4.7824 7.6280
angles: 90.00 90.00 120.00
Positions (direct):
Y (0.3333, 0.6667, 0.4552)
Te (0.3333, 0.6667, 0.8294)
Te (0.6667, 0.3333, 0.3016)
Li (0.0000, 0.0000, 0.8687)